Entry 1:
# GGA-PBE AlGe3Pb, optimized geometry
data_AlGe3Pb
_symmetry_space_group_name_H-M 'P m -3 m'
_symmetry_Int_Tables_number 221
_symmetry_space_group_name_Hall '-P 4 2 3'
_cell_length_a 5.4498
_cell_length_b 5.4498
_cell_length_c 5.4498
_cell_angle_alpha 90.00
_cell_angle_beta 90.00
_cell_angle_gamma 90.00
loop_
_atom_site_label
_atom_site_fract_x
_atom_site_fract_y
_atom_site_fract_z
Al1 0.0000 0.0000 0.0000
Ge1 0.0000 0.5000 0.5000
Pb1 0.5000 0.5000 0.5000
# energy of formation from the pure elements = 1.176 eV/atom
# E_tot = -3.085 eV per atom
# distance to the lowest polymorph of the same formula = 724.8 meV/atom
# DOS at the Fermi energy = 0.811 states/eV/atom

***

Entry 2:
# GGA-PBE NaSm2AlS5, optimized geometry
data_NaSm2AlS5
_symmetry_space_group_name_H-M 'C m c 21'
_symmetry_Int_Tables_number 36
_cell_length_a 3.8535
_cell_length_b 17.0165
_cell_length_c 11.8389
_cell_angle_alpha 90.00
_cell_angle_beta 90.00
_cell_angle_gamma 90.00
loop_
_symmetry_equiv_pos_as_xyz
'x,y,z'
'-x,-y,z+1/2'
'-x,y,z'
'x,-y,z+1/2'
'x+1/2,y+1/2,z'
'-x+1/2,-y+1/2,z+1/2'
'-x+1/2,y+1/2,z'
'x+1/2,-y+1/2,z+1/2'
loop_
_atom_site_label
_atom_site_fract_x
_atom_site_fract_y
_atom_site_fract_z
Na1 0.0000 0.1968 0.0000
Sm1 0.0000 0.1181 0.6576
Sm2 0.0000 0.1383 0.3005
Al1 0.0000 0.4517 0.4062
S1 0.0000 0.0279 0.0068
S2 0.0000 0.2897 0.6693
S3 0.0000 0.3306 0.3262
S4 0.0000 0.3549 0.9842
S5 0.0000 0.4866 0.7392
# formation energy (no corrections) = -1.6324 eV/atom
# E_tot = -5.537 eV per atom

***

Entry 3:
# GGA-PBE Ac2LaNd4Sm, optimized geometry
data_Ac2LaNd4Sm
_symmetry_space_group_name_H-M 'P 1 2/m 1'
_symmetry_Int_Tables_number 10
_cell_length_a 6.5401
_cell_length_b 3.7860
_cell_length_c 12.3886
_cell_angle_alpha 90.00
_cell_angle_beta 100.43
_cell_angle_gamma 90.00
loop_
_symmetry_equiv_pos_as_xyz
'x,y,z'
'-x,-y,-z'
'-x,y,-z'
'x,-y,z'
loop_
_atom_site_label
_atom_site_fract_x
_atom_site_fract_y
_atom_site_fract_z
Ac1 0.0000 0.0000 0.0000
Ac2 0.5000 0.5000 0.0000
La1 0.0000 0.5000 0.5000
Nd1 0.2483 0.0000 0.7445
Nd2 0.2532 0.5000 0.2564
Sm1 0.5000 0.0000 0.5000
# energy of formation from the pure elements = 0.033 eV/atom
# E_tot = -4.584 eV per atom
# DOS at the Fermi energy = 1.703 states/eV/atom

***

Entry 4:
# GGA-PBE DyTmTe2O8, optimized geometry
data_DyTmTe2O8
_symmetry_space_group_name_H-M 'I -4 m 2'
_symmetry_Int_Tables_number 119
_symmetry_space_group_name_Hall 'I -4 -2'
_cell_length_a 7.3094
_cell_length_b 7.3094
_cell_length_c 6.8387
_cell_angle_alpha 90.00
_cell_angle_beta 90.00
_cell_angle_gamma 90.00
loop_
_atom_site_label
_atom_site_fract_x
_atom_site_fract_y
_atom_site_fract_z
Dy1 0.0000 0.0000 0.0000
Tm1 0.0000 0.5000 0.2500
Te1 0.0000 0.0000 0.5000
Te2 0.0000 0.5000 0.7500
O1 0.0000 0.1881 0.2967
O2 0.0000 0.3155 0.9541
# formation energy (no corrections) = -1.9566 eV/atom
# E_tot = -6.542 eV per atom
# DOS at the Fermi energy = 0.154 states/eV/atom

***

Entry 5:
# GGA-PBE ZrZnSN2, optimized geometry
data_ZrZnSN2
_symmetry_space_group_name_H-M 'P 4/m m m'
_symmetry_Int_Tables_number 123
_symmetry_space_group_name_Hall '-P 4 2'
_cell_length_a 4.0787
_cell_length_b 4.0787
_cell_length_c 5.4964
_cell_angle_alpha 90.00
_cell_angle_beta 90.00
_cell_angle_gamma 90.00
loop_
_atom_site_label
_atom_site_fract_x
_atom_site_fract_y
_atom_site_fract_z
Zr1 0.0000 0.0000 0.0000
Zn1 0.5000 0.5000 0.5000
S1 0.0000 0.0000 0.5000
N1 0.0000 0.5000 0.0000
# formation energy (no corrections) = 0.3670 eV/atom
# E_tot = -5.753 eV per atom
# distance to the lowest polymorph of the same formula = 0.0 meV/atom
# DOS at the Fermi energy = 0.616 states/eV/atom

***

Entry 6:
# GGA-PBE CrP2PdS, optimized geometry
data_CrP2PdS
_symmetry_space_group_name_H-M 'P 4/m m m'
_symmetry_Int_Tables_number 123
_symmetry_space_group_name_Hall '-P 4 2'
_cell_length_a 4.4623
_cell_length_b 4.4623
_cell_length_c 4.3279
_cell_angle_alpha 90.00
_cell_angle_beta 90.00
_cell_angle_gamma 90.00
loop_
_atom_site_label
_atom_site_fract_x
_atom_site_fract_y
_atom_site_fract_z
Cr1 0.0000 0.0000 0.0000
P1 0.0000 0.5000 0.0000
Pd1 0.5000 0.5000 0.5000
S1 0.0000 0.0000 0.5000
# formation energy (no corrections) = 0.4570 eV/atom
# E_tot = -5.496 eV per atom
# distance to the lowest polymorph of the same formula = 0.0 meV/atom
# DOS at the Fermi energy = 0.738 states/eV/atom

***

Entry 7:
# GGA-PBE Ca2ThPaAs4, optimized geometry
data_Ca2ThPaAs4
_symmetry_space_group_name_H-M 'P 1 2/m 1'
_symmetry_Int_Tables_number 10
_cell_length_a 7.2727
_cell_length_b 4.2359
_cell_length_c 7.3340
_cell_angle_alpha 90.00
_cell_angle_beta 109.60
_cell_angle_gamma 90.00
loop_
_symmetry_equiv_pos_as_xyz
'x,y,z'
'-x,-y,-z'
'-x,y,-z'
'x,-y,z'
loop_
_atom_site_label
_atom_site_fract_x
_atom_site_fract_y
_atom_site_fract_z
Ca1 0.0000 0.0000 0.0000
Ca2 0.0000 0.5000 0.5000
Th1 0.5000 0.0000 0.5000
Pa1 0.5000 0.5000 0.0000
As1 0.2605 0.5000 0.2445
As2 0.2649 0.0000 0.7633
# energy of formation from the pure elements = -1.249 eV/atom
# E_tot = -6.188 eV per atom
# DOS at the Fermi energy = 0.662 states/eV/atom

***

Entry 8:
# GGA-PBE AsCl, optimized geometry
data_AsCl
_symmetry_space_group_name_H-M 'P 63/m m c'
_symmetry_Int_Tables_number 194
_symmetry_space_group_name_Hall '-P 6c 2c'
_cell_length_a 4.4138
_cell_length_b 4.4138
_cell_length_c 13.8639
_cell_angle_alpha 90.00
_cell_angle_beta 90.00
_cell_angle_gamma 120.00
loop_
_atom_site_label
_atom_site_fract_x
_atom_site_fract_y
_atom_site_fract_z
As1 0.0000 0.0000 0.2500
As2 0.3333 0.6667 0.2500
Cl1 0.3333 0.6667 0.6243
# formation energy (no corrections) = 0.1660 eV/atom
# E_tot = -3.082 eV per atom
# DOS at the Fermi energy = 0.977 states/eV/atom

***

Entry 9:
# GGA-PBE Nd8N6F, optimized geometry
data_Nd8N6F
_symmetry_space_group_name_H-M 'P -3'
_symmetry_Int_Tables_number 147
_cell_length_a 9.6985
_cell_length_b 9.6985
_cell_length_c 3.7023
_cell_angle_alpha 90.00
_cell_angle_beta 90.00
_cell_angle_gamma 120.00
loop_
_symmetry_equiv_pos_as_xyz
'x,y,z'
'-x,-y,-z'
'-y,x-y,z'
'y,-x+y,-z'
'-x+y,-x,z'
'x-y,x,-z'
loop_
_atom_site_label
_atom_site_fract_x
_atom_site_fract_y
_atom_site_fract_z
Nd1 0.0334 0.3619 0.2468
Nd2 0.3333 0.6667 0.7493
N1 0.1345 0.6564 0.2515
F1 0.0000 0.0000 0.0000
# formation energy (no corrections) = -1.2038 eV/atom
# E_tot = -7.202 eV per atom
# DOS at the Fermi energy = 0.630 states/eV/atom

***

Entry 10:
# GGA-PBE Ta4NbRh5, optimized geometry
data_Ta4NbRh5
_symmetry_space_group_name_H-M 'P 4/m m m'
_symmetry_Int_Tables_number 123
_symmetry_space_group_name_Hall '-P 4 2'
_cell_length_a 2.8891
_cell_length_b 2.8891
_cell_length_c 19.1411
_cell_angle_alpha 90.00
_cell_angle_beta 90.00
_cell_angle_gamma 90.00
loop_
_atom_site_label
_atom_site_fract_x
_atom_site_fract_y
_atom_site_fract_z
Ta1 0.0000 0.0000 0.0998
Ta2 0.0000 0.0000 0.2996
Nb1 0.0000 0.0000 0.5000
Rh1 0.5000 0.5000 0.0000
Rh2 0.5000 0.5000 0.1997
Rh3 0.5000 0.5000 0.3983
# energy of formation from the pure elements = -0.460 eV/atom
# E_tot = -9.884 eV per atom
# DOS at the Fermi energy = 0.812 states/eV/atom

***

Entry 11:
# GGA-PBE Pu3Si4Pt2, optimized geometry
data_Pu3Si4Pt2
_symmetry_space_group_name_H-M 'C 1 2/m 1'
_symmetry_Int_Tables_number 12
_cell_length_a 10.7749
_cell_length_b 4.1582
_cell_length_c 8.1712
_cell_angle_alpha 90.00
_cell_angle_beta 103.18
_cell_angle_gamma 90.00
loop_
_symmetry_equiv_pos_as_xyz
'x,y,z'
'-x,-y,-z'
'-x,y,-z'
'x,-y,z'
'x+1/2,y+1/2,z'
'-x+1/2,-y+1/2,-z'
'-x+1/2,y+1/2,-z'
'x+1/2,-y+1/2,z'
loop_
_atom_site_label
_atom_site_fract_x
_atom_site_fract_y
_atom_site_fract_z
Pu1 0.0000 0.0000 0.0000
Pu2 0.1676 0.5000 0.6694
Si1 0.0470 0.0000 0.3836
Si2 0.2213 0.5000 0.0553
Pt1 0.1133 0.5000 0.2827
# formation energy (no corrections) = -0.7268 eV/atom
# E_tot = -9.257 eV per atom
# distance to the lowest polymorph of the same formula = 2.5 meV/atom
# DOS at the Fermi energy = 3.379 states/eV/atom

***

| no. | calculated volume (Å³/cell) |
| --- | --- |
| 1 | 162 |
| 2 | 776 |
| 3 | 302 |
| 4 | 365 |
| 5 | 91 |
| 6 | 86 |
| 7 | 213 |
| 8 | 234 |
| 9 | 302 |
| 10 | 160 |
| 11 | 356 |